w) ## CaPmPt (GGA-PBE)

Data for CaPmPt after structural relaxation.

a = 3.7755 Å, b = 5.3542 Å, c = 8.1162 Å
α = 90.00°, β = 103.45°, γ = 90.00°
Last column: nearest neighbours and their distance in Å.
Element x y z (fractional)
Pt 0.4177 0.7500 0.8354  2 Pm 2.84, 2 Ca 3.02
Pt 0.5823 0.2500 0.1646  2 Pm 2.84, 2 Ca 3.02
Pm 0.2169 0.2500 0.4337  2 Pt 2.84
Pm 0.7831 0.7500 0.5663  2 Pt 2.84
Ca 0.0667 0.7500 0.1333  6 Pt 3.02-3.29
Ca 0.9333 0.2500 0.8667  6 Pt 3.02-3.29



x) ## CaPmPt (GGA-PBE)

Data for CaPmPt after structural relaxation.

a = 5.6978 Å, b = 5.8636 Å, c = 5.6984 Å
α = 97.07°, β = 98.95°, γ = 97.08°
Last column: nearest neighbours and their distance in Å.
Element x y z (fractional)
Pm 0.2947 0.0038 0.2093  4 Pt 2.92-2.95
Pm 0.7098 0.0039 0.7939  4 Pt 2.92-2.95
Ca 0.7753 0.5675 0.2746  2 Pt 2.92-2.98
Ca 0.2292 0.4402 0.7286  2 Pt 2.92-2.98
Pt 0.8183 0.0833 0.3175  2 Ca 2.92-2.98, 4 Pm 2.92-2.95, 1 Pt 3.04
Pt 0.1862 0.9244 0.6857  2 Ca 2.92-2.98, 4 Pm 2.92-2.95, 1 Pt 3.04



Stability check: which of them is most stable? x).



w) ## Ca3PmPt2 (GGA-PBE)

Data for Ca3PmPt2 after structural relaxation.

a = 6.9818 Å, b = 7.2925 Å, c = 8.6522 Å
α = 114.92°, β = 113.80°, γ = 90.00°
Last column: nearest neighbours and their distance in Å.
Element x y z (fractional)
Ca 0.7627 0.5127 0.5255  4 Pt 2.96-3.03
Ca 0.2373 0.9873 0.4745  4 Pt 2.96-3.03
Ca 0.2373 0.4873 0.4745  4 Pt 2.96-3.03
Ca 0.7627 0.0127 0.5255  4 Pt 2.96-3.03
Ca 0.5000 0.2500 0.0000  4 Pt 3.05
Ca 0.5000 0.7500 0.0000  4 Pt 3.05
Pt 0.8542 0.1370 0.2739  1 Pm 2.76, 6 Ca 2.96-3.05
Pt 0.1458 0.8630 0.7261  1 Pm 2.76, 6 Ca 2.96-3.05
Pt 0.4197 0.6370 0.2739  1 Pm 2.76, 6 Ca 2.96-3.05
Pt 0.5803 0.3630 0.7261  1 Pm 2.76, 6 Ca 2.96-3.05
Pm 0.0000 0.0000 0.0000  2 Pt 2.76
Pm 0.0000 0.5000 0.0000  2 Pt 2.76



x) ## Ca3PmPt2 (GGA-PBE)

Data for Ca3PmPt2 after structural relaxation.

a = 4.5388 Å, b = 7.5719 Å, c = 9.2764 Å
α = 90.00°, β = 90.00°, γ = 90.00°
Last column: nearest neighbours and their distance in Å.
Element x y z (fractional)
Ca 0.0000 0.9792 0.0873  3 Pt 3.04-3.15
Ca 0.0000 0.8600 0.6852  4 Pt 2.92-3.04
Ca 0.5000 0.1458 0.8241  4 Pt 3.04-3.10, 2 Ca 3.39
Ca 0.0000 0.3600 0.3148  4 Pt 2.92-3.04
Ca 0.0000 0.4792 0.9127  3 Pt 3.04-3.15
Ca 0.5000 0.6458 0.1759  4 Pt 3.04-3.10, 2 Ca 3.39
Pm 0.5000 0.5218 0.5848  3 Pt 3.00-3.06
Pm 0.5000 0.0218 0.4152  3 Pt 3.00-3.06
Pt 0.5000 0.2376 0.1442  6 Ca 2.92-3.10, 1 Pm 3.00
Pt 0.5000 0.7376 0.8558  6 Ca 2.92-3.10, 1 Pm 3.00
Pt 0.0000 0.7555 0.3741  5 Ca 2.99-3.15, 2 Pm 3.06
Pt 0.0000 0.2555 0.6259  5 Ca 2.99-3.15, 2 Pm 3.06



Stability check: which of them is most stable? x).



w) ## CaPm2Pt3 (GGA-PBE)

Data for CaPm2Pt3 after structural relaxation.

a = 3.5348 Å, b = 5.0207 Å, c = 15.2462 Å
α = 90.00°, β = 90.00°, γ = 90.00°
Last column: nearest neighbours and their distance in Å.
Element x y z (fractional)
Ca 0.0005 0.0000 0.0000  8 Pt 3.07-3.22
Ca 0.9995 0.5000 0.5000  8 Pt 3.07-3.22
Pm 0.0002 0.5000 0.8380  8 Pt 3.03-3.08
Pm 0.9998 0.0000 0.6620  8 Pt 3.03-3.08
Pm 0.9998 0.0000 0.3380  8 Pt 3.03-3.08
Pm 0.0002 0.5000 0.1620  8 Pt 3.03-3.08
Pt 0.4997 0.5000 0.3234  6 Pm 3.03-3.08, 2 Ca 3.22, 2 Pt 3.36
Pt 0.5003 0.0000 0.8234  6 Pm 3.03-3.08, 2 Ca 3.22, 2 Pt 3.36
Pt 0.5002 0.5000 0.0000  4 Pm 3.04, 4 Ca 3.07
Pt 0.4997 0.5000 0.6766  6 Pm 3.03-3.08, 2 Ca 3.22, 2 Pt 3.36
Pt 0.4998 0.0000 0.5000  4 Pm 3.04, 4 Ca 3.07
Pt 0.5003 0.0000 0.1766  6 Pm 3.03-3.08, 2 Ca 3.22, 2 Pt 3.36



x) ## CaPm2Pt3 (GGA-PBE)

Data for CaPm2Pt3 after structural relaxation.

a = 3.5414 Å, b = 3.5414 Å, c = 10.8109 Å
α = 90.00°, β = 90.00°, γ = 90.00°
Last column: nearest neighbours and their distance in Å.
Element x y z (fractional)
Ca 0.5000 0.5000 0.5000  8 Pt 3.13
Pm 0.5000 0.5000 0.1710  8 Pt 3.01-3.11
Pm 0.5000 0.5000 0.8290  8 Pt 3.01-3.11
Pt 0.0000 0.0000 0.3257  4 Pm 3.01, 4 Ca 3.13
Pt 0.0000 0.0000 0.0000  8 Pm 3.11
Pt 0.0000 0.0000 0.6743  4 Pm 3.01, 4 Ca 3.13



Stability check: which of them is most stable? w).



w) ## CaPm4Pt2 (GGA-PBE)

Data for CaPm4Pt2 after structural relaxation.

a = 6.6751 Å, b = 8.0582 Å, c = 8.1411 Å
α = 111.72°, β = 90.00°, γ = 90.00°
Last column: nearest neighbours and their distance in Å.
Element x y z (fractional)
Pt 0.7500 0.7172 0.0066  6 Pm 2.92-3.10
Pt 0.2500 0.2828 0.9934  6 Pm 2.92-3.10
Pt 0.7500 0.3782 0.4121  4 Pm 2.83-3.08, 1 Ca 3.04
Pt 0.2500 0.6218 0.5879  4 Pm 2.83-3.08, 1 Ca 3.04
Pm 0.9967 0.4080 0.7567  4 Pt 3.01-3.18, 1 Pm 3.29
Pm 0.0033 0.5920 0.2433  4 Pt 3.01-3.18, 1 Pm 3.29
Pm 0.2500 0.2482 0.3376  2 Pt 2.92-2.95
Pm 0.7500 0.0167 0.3795  2 Pt 2.83-3.10
Pm 0.4967 0.5920 0.2433  4 Pt 3.01-3.18, 1 Pm 3.29
Pm 0.7500 0.7518 0.6624  2 Pt 2.92-2.95
Pm 0.2500 0.9833 0.6205  2 Pt 2.83-3.10
Pm 0.5033 0.4080 0.7567  4 Pt 3.01-3.18, 1 Pm 3.29
Ca 0.7500 0.1590 0.0175  1 Pt 3.04
Ca 0.2500 0.8410 0.9825  1 Pt 3.04



x) ## CaPm4Pt2 (GGA-PBE)

Data for CaPm4Pt2 after structural relaxation.

a = 7.4988 Å, b = 7.4984 Å, c = 9.9062 Å
α = 120.26°, β = 110.27°, γ = 82.94°
Last column: nearest neighbours and their distance in Å.
Element x y z (fractional)
Pm 0.4741 0.2479 0.3852  3 Pt 2.85-2.95
Pm 0.8649 0.0927 0.2167  2 Pt 2.77-3.04
Pm 0.3875 0.6638 0.8871  3 Pt 2.85-2.96
Pm 0.8104 0.4797 0.0794  3 Pt 2.89-3.08
Pm 0.8473 0.0196 0.5811  3 Pt 2.89-3.08
Pm 0.8260 0.6471 0.7288  3 Pt 2.80-2.99
Pm 0.3328 0.6522 0.2289  3 Pt 2.80-3.00
Pm 0.3690 0.1039 0.7132  2 Pt 2.77-3.03
Ca 0.1234 0.5832 0.4906  1 Pt 2.91
Ca 0.1574 0.1179 0.9899  1 Pt 2.91
Pt 0.6230 0.3586 0.7296  6 Pm 2.77-2.93
Pt 0.0994 0.4101 0.8697  1 Ca 2.91, 5 Pm 2.96-3.08
Pt 0.6239 0.8548 0.2305  6 Pm 2.77-2.92
Pt 0.7110 0.5186 0.3695  1 Ca 2.91, 5 Pm 2.95-3.08



Stability check: which of them is most stable? w).



w) ## Ca2PmPt2 (GGA-PBE)

Data for Ca2PmPt2 after structural relaxation.

a = 4.4646 Å, b = 5.7236 Å, c = 11.7185 Å
α = 113.49°, β = 90.00°, γ = 90.00°
Last column: nearest neighbours and their distance in Å.
Element x y z (fractional)
Pt 0.2500 0.3302 0.9733  2 Pt 2.86, 4 Ca 2.95-3.12, 3 Pm 2.97-3.03
Pt 0.7500 0.1174 0.3547  2 Pm 2.93, 5 Ca 2.97-3.12
Pt 0.7500 0.6698 0.0267  2 Pt 2.86, 4 Ca 2.95-3.12, 3 Pm 2.97-3.03
Pt 0.2500 0.8826 0.6453  2 Pm 2.93, 5 Ca 2.97-3.12
Pm 0.7500 0.1863 0.7916  5 Pt 2.93-3.03
Pm 0.2500 0.8137 0.2084  5 Pt 2.93-3.03
Ca 0.7500 0.7118 0.4628  4 Pt 2.97-3.12
Ca 0.2500 0.7696 0.8797  5 Pt 2.95-3.12
Ca 0.2500 0.2882 0.5372  4 Pt 2.97-3.12
Ca 0.7500 0.2304 0.1203  5 Pt 2.95-3.12



x) ## Ca2PmPt2 (GGA-PBE)

Data for Ca2PmPt2 after structural relaxation.

a = 4.9252 Å, b = 5.0482 Å, c = 10.5488 Å
α = 90.03°, β = 90.00°, γ = 90.00°
Last column: nearest neighbours and their distance in Å.
Element x y z (fractional)
Ca 0.7500 0.2499 0.3294  6 Pt 3.00-3.16
Ca 0.2500 0.7501 0.9980  4 Pt 3.05-3.08
Ca 0.7500 0.2499 0.0020  4 Pt 3.05-3.08
Ca 0.2500 0.7501 0.6706  6 Pt 3.00-3.16
Pm 0.2500 0.7502 0.3404  6 Pt 2.98-3.06
Pm 0.7500 0.2498 0.6596  6 Pt 2.98-3.06
Pt 0.2500 0.2505 0.4912  4 Pm 2.98-3.04, 4 Ca 3.00-3.16
Pt 0.7500 0.7495 0.5088  4 Pm 2.98-3.04, 4 Ca 3.00-3.16
Pt 0.2500 0.2500 0.8314  6 Ca 3.04-3.08, 2 Pm 3.06
Pt 0.7500 0.7500 0.1686  6 Ca 3.04-3.08, 2 Pm 3.06



Stability check: which of them is most stable? x).



w) ## CaPmZnPt (GGA-PBE)

Data for CaPmZnPt after structural relaxation.

a = 4.0650 Å, b = 4.2337 Å, c = 6.0646 Å
α = 90.00°, β = 109.58°, γ = 90.00°
Last column: nearest neighbours and their distance in Å.
Element x y z (fractional)
Zn 0.5706 0.5000 0.1413  2 Pt 2.71
Ca 0.1457 0.0000 0.2915  4 Zn 3.06, 3 Pt 3.17-3.26
Pt 0.4229 0.0000 0.8457  2 Zn 2.71, 4 Pm 3.02
Pm 0.8608 0.5000 0.7215  4 Pt 3.02, 3 Zn 3.14-3.32



x) ## CaPmZnPt (GGA-PBE)

Data for CaPmZnPt after structural relaxation.

a = 5.0613 Å, b = 5.0613 Å, c = 5.0613 Å
α = 60.00°, β = 60.00°, γ = 60.00°
Last column: nearest neighbours and their distance in Å.
Element x y z (fractional)
Pm 0.0000 0.0000 0.0000  4 Zn 3.10, 4 Pt 3.10
Pt 0.2500 0.2500 0.2500  4 Ca 3.10, 4 Pm 3.10
Zn 0.7500 0.7500 0.7500  4 Ca 3.10, 4 Pm 3.10
Ca 0.5000 0.5000 0.5000  4 Pt 3.10, 4 Zn 3.10



Stability check: which of them is most stable? w).



w) ## CaPm2Rh3 (GGA-PBE)

Data for CaPm2Rh3 after structural relaxation.

a = 4.9291 Å, b = 4.9291 Å, c = 12.0662 Å
α = 90.00°, β = 90.00°, γ = 120.00°
Last column: nearest neighbours and their distance in Å.
Element x y z (fractional)
Rh 0.3333 0.6667 0.9199  7 Pm 3.01-3.06, 1 Ca 3.07
Rh 0.0000 0.0000 0.2475  5 Pm 2.98-3.05, 3 Ca 3.03
Rh 0.6667 0.3333 0.0801  7 Pm 3.01-3.06, 1 Ca 3.07
Rh 0.0000 0.0000 0.7525  5 Pm 2.98-3.05, 3 Ca 3.03
Rh 0.3333 0.6667 0.4185  4 Pm 2.95-3.01, 4 Ca 2.98-3.02
Rh 0.6667 0.3333 0.5815  4 Pm 2.95-3.01, 4 Ca 2.98-3.02
Pm 0.0000 0.0000 0.0000  8 Rh 2.99-3.01
Pm 0.0000 0.0000 0.5000  8 Rh 3.01-3.05
Pm 0.3333 0.6667 0.1737  8 Rh 2.95-3.06
Pm 0.6667 0.3333 0.8263  8 Rh 2.95-3.06
Ca 0.6667 0.3333 0.3349  8 Rh 2.98-3.07
Ca 0.3333 0.6667 0.6651  8 Rh 2.98-3.07



x) ## CaPm2Rh3 (GGA-PBE)

Data for CaPm2Rh3 after structural relaxation.

a = 3.4735 Å, b = 3.4735 Å, c = 10.6062 Å
α = 90.00°, β = 90.00°, γ = 90.00°
Last column: nearest neighbours and their distance in Å.
Element x y z (fractional)
Rh 0.0000 0.0000 0.6753  4 Pm 2.96, 4 Ca 3.08
Rh 0.0000 0.0000 0.3247  4 Pm 2.96, 4 Ca 3.08
Rh 0.0000 0.0000 0.0000  8 Pm 3.04
Pm 0.5000 0.5000 0.1695  8 Rh 2.96-3.04
Pm 0.5000 0.5000 0.8305  8 Rh 2.96-3.04
Ca 0.5000 0.5000 0.5000  8 Rh 3.08



Stability check: which of them is most stable? w).



w) ## Ca2Pm2Rh3 (GGA-PBE)

Data for Ca2Pm2Rh3 after structural relaxation.

a = 4.7327 Å, b = 7.8611 Å, c = 4.9879 Å
α = 71.46°, β = 89.96°, γ = 107.38°
Last column: nearest neighbours and their distance in Å.
Element x y z (fractional)
Rh 0.7501 0.5002 0.2501  4 Pm 2.91-3.02, 4 Ca 2.99-3.09
Rh 0.0000 0.0000 0.0000  4 Pm 2.99-3.00, 4 Ca 3.02-3.03
Rh 0.2499 0.4998 0.7499  4 Pm 2.91-3.02, 4 Ca 2.99-3.09
Pm 0.3697 0.7404 0.1292  6 Rh 2.91-3.02
Pm 0.6303 0.2596 0.8708  6 Rh 2.91-3.02
Ca 0.8787 0.7588 0.6201  6 Rh 2.99-3.09
Ca 0.1213 0.2412 0.3799  6 Rh 2.99-3.09



x) ## Ca2Pm2Rh3 (GGA-PBE)

Data for Ca2Pm2Rh3 after structural relaxation.

a = 4.9075 Å, b = 4.9148 Å, c = 8.5375 Å
α = 89.97°, β = 106.71°, γ = 120.04°
Last column: nearest neighbours and their distance in Å.
Element x y z (fractional)
Ca 0.2550 0.1274 0.3825  5 Rh 3.08-3.13, 3 Ca 3.41
Ca 0.7450 0.8726 0.6175  5 Rh 3.08-3.13, 3 Ca 3.41
Pm 0.2443 0.6221 0.8666  7 Rh 2.92-3.03
Pm 0.7557 0.3779 0.1334  7 Rh 2.92-3.03
Rh 0.5142 0.2573 0.7710  4 Pm 2.92-2.94, 4 Ca 3.09-3.13
Rh 0.0000 0.0000 0.0000  6 Pm 3.03, 2 Ca 3.08, 6 Rh 3.38
Rh 0.4858 0.7427 0.2290  4 Pm 2.92-2.94, 4 Ca 3.09-3.13



Stability check: which of them is most stable? x).



w) ## CaPmSnRh (GGA-PBE)

Data for CaPmSnRh after structural relaxation.

a = 4.5872 Å, b = 3.8225 Å, c = 6.3934 Å
α = 90.00°, β = 111.02°, γ = 90.00°
Last column: nearest neighbours and their distance in Å.
Element x y z (fractional)
Ca 0.1597 0.0000 0.3194  1 Rh 2.96, 4 Sn 3.18
Rh 0.4081 0.0000 0.8162  2 Sn 2.70, 1 Ca 2.96
Sn 0.5683 0.5000 0.1367  2 Rh 2.70
Pm 0.8638 0.5000 0.7277  4 Rh 3.03, 2 Sn 3.35



x) ## CaPmSnRh (GGA-PBE)

Data for CaPmSnRh after structural relaxation.

a = 5.1815 Å, b = 5.1815 Å, c = 5.1815 Å
α = 60.00°, β = 60.00°, γ = 60.00°
Last column: nearest neighbours and their distance in Å.
Element x y z (fractional)
Sn 0.2500 0.2500 0.2500  4 Pm 3.17, 4 Ca 3.17
Rh 0.7500 0.7500 0.7500  4 Ca 3.17, 4 Pm 3.17
Ca 0.5000 0.5000 0.5000  4 Sn 3.17, 4 Rh 3.17
Pm 0.0000 0.0000 0.0000  4 Rh 3.17, 4 Sn 3.17



Stability check: which of them is most stable? w).



w) ## CaPmZnRh (GGA-PBE)

Data for CaPmZnRh after structural relaxation.

a = 4.0955 Å, b = 4.1720 Å, c = 5.9840 Å
α = 90.00°, β = 110.01°, γ = 90.00°
Last column: nearest neighbours and their distance in Å.
Element x y z (fractional)
Ca 0.8545 0.5000 0.7091  4 Zn 3.05, 3 Rh 3.13-3.22
Pm 0.1363 0.0000 0.2727  4 Rh 3.00, 3 Zn 3.07-3.34
Rh 0.5760 0.5000 0.1520  2 Zn 2.63
Zn 0.4331 0.0000 0.8663  2 Rh 2.63



x) ## CaPmZnRh (GGA-PBE)

Data for CaPmZnRh after structural relaxation.

a = 5.0271 Å, b = 5.0271 Å, c = 5.0271 Å
α = 60.00°, β = 60.00°, γ = 60.00°
Last column: nearest neighbours and their distance in Å.
Element x y z (fractional)
Zn 0.0000 0.0000 0.0000  4 Pm 3.08, 4 Ca 3.08
Pm 0.7500 0.7500 0.7500  4 Rh 3.08, 4 Zn 3.08
Ca 0.2500 0.2500 0.2500  4 Zn 3.08, 4 Rh 3.08
Rh 0.5000 0.5000 0.5000  4 Ca 3.08, 4 Pm 3.08



Stability check: which of them is most stable? w).



w) ## CaPm3Ru (GGA-PBE)

Data for CaPm3Ru after structural relaxation.

a = 3.8541 Å, b = 7.6208 Å, c = 11.2864 Å
α = 91.31°, β = 90.00°, γ = 104.65°
Last column: nearest neighbours and their distance in Å.
Element x y z (fractional)
Ca 0.8287 0.6574 0.9065  8 Pm 3.64-4.02, 4 Ca 3.71-3.85
Ca 0.1713 0.3426 0.0935  8 Pm 3.64-4.02, 4 Ca 3.71-3.85
Pm 0.5594 0.1188 0.8445  1 Ru 2.83
Pm 0.0653 0.1307 0.3814  4 Ru 2.91-3.09
Pm 0.2124 0.4247 0.6476  2 Ru 2.79
Pm 0.9347 0.8693 0.6186  4 Ru 2.91-3.09
Pm 0.4406 0.8812 0.1555  1 Ru 2.83
Pm 0.7876 0.5753 0.3524  2 Ru 2.79
Ru 0.5807 0.1613 0.5955  7 Pm 2.79-3.09
Ru 0.4193 0.8387 0.4045  7 Pm 2.79-3.09



x) ## CaPm3Ru (GGA-PBE)

Data for CaPm3Ru after structural relaxation.

a = 8.0315 Å, b = 8.2284 Å, c = 10.2768 Å
α = 106.64°, β = 90.00°, γ = 90.00°
Last column: nearest neighbours and their distance in Å.
Element x y z (fractional)
Pm 0.8705 0.9728 0.6322  3 Ru 2.76-3.05
Pm 0.5089 0.7871 0.4037  2 Ru 2.80-3.01
Pm 0.6295 0.9728 0.1322  3 Ru 2.76-3.05
Pm 0.3705 0.0272 0.8678  3 Ru 2.76-3.05
Pm 0.4911 0.2129 0.5963  2 Ru 2.80-3.01
Pm 0.8220 0.3677 0.4529  1 Ru 2.73
Pm 0.6780 0.3677 0.9529  1 Ru 2.73
Pm 0.0089 0.2129 0.0963  2 Ru 2.80-3.01
Pm 0.3220 0.6323 0.0471  1 Ru 2.73
Pm 0.1295 0.0272 0.3678  3 Ru 2.76-3.05
Pm 0.9911 0.7871 0.9037  2 Ru 2.80-3.01
Pm 0.1780 0.6323 0.5471  1 Ru 2.73
Ru 0.7488 0.0302 0.8976  6 Pm 2.73-3.05
Ru 0.2512 0.9698 0.1024  6 Pm 2.73-3.05
Ru 0.2488 0.9698 0.6024  6 Pm 2.73-3.05
Ru 0.7512 0.0302 0.3976  6 Pm 2.73-3.05
Ca 0.5966 0.6635 0.7340  1 Ru 3.24, 2 Pm 3.43-3.62
Ca 0.9034 0.6635 0.2340  1 Ru 3.24, 2 Pm 3.43-3.62
Ca 0.0966 0.3365 0.7660  1 Ru 3.24, 2 Pm 3.43-3.62
Ca 0.4034 0.3365 0.2660  1 Ru 3.24, 2 Pm 3.43-3.62



Stability check: which of them is most stable? w).



w) ## CaPmS2 (GGA-PBE)

Data for CaPmS2 after structural relaxation.

a = 3.9738 Å, b = 3.9738 Å, c = 13.6652 Å
α = 90.00°, β = 90.00°, γ = 120.00°
Last column: nearest neighbours and their distance in Å.
Element x y z (fractional)
S 0.3333 0.6667 0.1239  3 Pm 2.85, 3 Ca 2.87
S 0.6667 0.3333 0.8761  3 Pm 2.85, 3 Ca 2.87
S 0.6667 0.3333 0.6239  3 Pm 2.85, 3 Ca 2.87
S 0.3333 0.6667 0.3761  3 Pm 2.85, 3 Ca 2.87
Pm 0.0000 0.0000 0.0000  6 S 2.85
Pm 0.0000 0.0000 0.5000  6 S 2.85
Ca 0.3333 0.6667 0.7500  6 S 2.87
Ca 0.6667 0.3333 0.2500  6 S 2.87



x) ## CaPmS2 (GGA-PBE)

Data for CaPmS2 after structural relaxation.

a = 3.9419 Å, b = 3.9419 Å, c = 7.3718 Å
α = 74.49°, β = 74.49°, γ = 60.00°
Last column: nearest neighbours and their distance in Å.
Element x y z (fractional)
S 0.0836 0.0836 0.7493  3 Ca 2.81, 3 Pm 2.84
S 0.2513 0.2513 0.2460  3 Pm 2.89, 3 Ca 2.95
Ca 0.4956 0.4956 0.5132  6 S 2.81-2.95
Pm 0.6695 0.6695 0.9915  6 S 2.84-2.89



Stability check: which of them is most stable? w).